# 1
Below is an optimized crystal structure of Dy5MgTe4, with properties calculated at the GGA-PBE level.

Formation energy (no corrections) (kJ/mol of atoms): -70
Space-group type: Pmmn
Total DFT energy (no corrections) (eV/cell): -88.83

Cell lengths 7.309, 9.111, 9.500 Å; angles 90.00, 90.00, 90.00 degrees
Atoms (fractional coordinates):
1 Dy 0.755 0.194 0.299
2 Dy 0.128 0.000 0.500
3 Dy 0.755 0.806 0.701
4 Dy 0.245 0.306 0.201
5 Dy 0.755 0.806 0.299
6 Dy 0.245 0.306 0.799
7 Dy 0.245 0.694 0.201
8 Dy 0.245 0.694 0.799
9 Dy 0.872 0.500 0.000
10 Dy 0.755 0.194 0.701
11 Te 0.077 0.000 0.190
12 Te 0.923 0.500 0.310
13 Te 0.431 0.766 0.500
14 Te 0.077 0.000 0.810
15 Te 0.569 0.734 0.000
16 Te 0.431 0.234 0.500
17 Te 0.569 0.266 0.000
18 Te 0.923 0.500 0.690
19 Mg 0.239 0.500 0.500
20 Mg 0.761 0.000 0.000

=====

# 2
Below is an optimized crystal structure of AcIn2BiTe4, with properties calculated at the GGA-PBE level.

Formation energy (no corrections) (kJ/mol of atoms): -61
Space-group type: P2/m
Total DFT energy (no corrections) (eV/cell): -31.05

Cell lengths 4.678, 8.364, 8.109 Å; angles 71.14, 90.00, 90.00 degrees
Atoms (fractional coordinates):
1 In 0.500 0.000 0.500
2 In 0.000 0.000 0.000
3 Te 0.500 0.264 0.754
4 Te 0.000 0.268 0.234
5 Te 0.500 0.736 0.246
6 Te 0.000 0.732 0.766
7 Bi 0.500 0.500 0.000
8 Ac 0.000 0.500 0.500

=====

# 3
Below is an optimized crystal structure of Ca2ThS4, with properties calculated at the GGA-PBE level.

Polymorph energy (0 for the lowest one) (eV/atom): 0.0106
Formation energy (no corrections) (kJ/mol of atoms): -195
Space-group type: Cmcm
Total DFT energy (no corrections) (eV/cell): -84.10

Cell lengths 3.928, 6.925, 13.242 Å; angles 90.00, 90.00, 106.47 degrees
Atoms (fractional coordinates):
1 S 0.500 0.000 0.500
2 S 0.220 0.440 0.626
3 S 0.500 0.000 0.000
4 S 0.780 0.560 0.126
5 S 0.780 0.560 0.374
6 S 0.220 0.440 0.874
7 S 0.026 0.053 0.250
8 S 0.974 0.947 0.750
9 Th 0.620 0.240 0.750
10 Th 0.380 0.760 0.250
11 Ca 0.128 0.257 0.435
12 Ca 0.872 0.743 0.565
13 Ca 0.872 0.743 0.935
14 Ca 0.128 0.257 0.065

=====

# 4
Below is an optimized crystal structure of RbTeN2, with properties calculated at the GGA-PBE level.

Formation energy (no corrections) (kJ/mol of atoms): 160
Space-group type: P2_1/m
Total DFT energy (no corrections) (eV/cell): -28.25

Cell lengths 4.335, 4.175, 9.172 Å; angles 76.88, 90.00, 90.00 degrees
Last column: magnetic moment on the atom in μB.
Atoms (fractional coordinates):
1 Rb 0.250 0.642 0.716  0.01
2 Rb 0.750 0.358 0.284  0.01
3 N 0.750 0.208 0.585  -0.45
4 N 0.750 0.749 0.502  0.76
5 N 0.250 0.251 0.498  0.76
6 N 0.250 0.792 0.415  -0.45
7 Te 0.250 0.938 0.123  0.09
8 Te 0.750 0.062 0.877  0.09